## HoHgMo2O8 (GGA+U)

Data for a geometry-optimized HoHgMo2O8 structure.

```
HoHgMo2O8
1.0
-0.503 1.874 -5.783
-3.854 -4.187 2.195
-4.417 5.140 2.050
Ho Hg Mo O
1 1 2 8
Direct
0.000 0.000 0.000 Ho
0.000 0.000 0.500 Hg
0.333 0.667 0.727 Mo
0.667 0.333 0.273 Mo
0.170 0.340 0.809 O
0.170 0.830 0.809 O
0.660 0.830 0.809 O
0.340 0.170 0.191 O
0.667 0.333 0.519 O
0.333 0.667 0.481 O
0.830 0.660 0.191 O
0.830 0.170 0.191 O
```

Computed properties:
Energy ... -6.7074 eV per atom
Total moment ... 1.0 μB per formula unit
N(E_F) ... 1.727 states/eV per cell
Symmetry ... P-3m1